Below is an optimized crystal structure of PaPb2F6, with properties calculated at the PBE-GGA level.

Size of the total moment in μB/atom: 0.11
Crystal system: tetragonal
ΔE_f (raw) in meV per atom: -2668
Total DFT energy (no corrections) in eV per cell: -104.3

The structure in POSCAR format:
```
PaPb2F6
1.0
6.2185 0.0000 0.0000
0.0000 6.2185 0.0000
0.0000 0.0000 11.1946
Pa Pb F
2 4 12
direct
0.0000 0.0000 0.0000
0.5000 0.5000 0.5000
0.0000 0.0000 0.3633
0.0000 0.0000 0.6367
0.5000 0.5000 0.1367
0.5000 0.5000 0.8633
0.2015 0.2015 0.1233
0.2015 0.2015 0.8767
0.2476 0.7524 0.0000
0.2524 0.2524 0.5000
0.2985 0.7015 0.3767
0.2985 0.7015 0.6233
0.7015 0.2985 0.3767
0.7015 0.2985 0.6233
0.7476 0.7476 0.5000
0.7524 0.2476 0.0000
0.7985 0.7985 0.1233
0.7985 0.7985 0.8767
```

=====

Below is an optimized crystal structure of PaPb2F8, with properties calculated at the PBE-GGA level.

Size of the total moment in μB/atom: 0.09
Crystal system: orthorhombic
Offset from the most stable computed form in meV/atom: 82.7
ΔE_f (raw) in meV per atom: -2948
Total DFT energy (no corrections) in eV per cell: -64.3

The structure in POSCAR format:
```
PaPb2F8
1.0
-1.9955 3.3158 6.1185
1.9955 -3.3158 6.1185
1.9955 3.3158 -6.1185
Pa Pb F
1 2 8
direct
0.0000 0.0000 0.0000
0.3370 0.3370 0.0000
0.6630 0.6630 0.0000
0.1107 0.6107 0.5000
0.1135 0.8602 0.2533
0.3110 0.5000 0.8110
0.3931 0.1398 0.2533
0.6069 0.8602 0.7467
0.6890 0.5000 0.1890
0.8865 0.1398 0.7467
0.8893 0.3893 0.5000
```

=====

Below is an optimized crystal structure of PaPbF2, with properties calculated at the PBE-GGA level.

Size of the total moment in μB/atom: 0.20
Crystal system: trigonal
ΔE_f (raw) in meV per atom: -1959
Total DFT energy (no corrections) in eV per cell: -24.8

The structure in POSCAR format:
```
PaPbF2
1.0
1.6172 0.9337 10.4637
-1.6172 0.9337 10.4637
0.0000 -1.8673 10.4637
Pa Pb F
1 1 2
direct
0.0000 0.0000 0.0000
0.5000 0.5000 0.5000
0.3849 0.3849 0.3849
0.6151 0.6151 0.6151
```